No. 1
K4YEr3Te8 | GGA-PBE | relaxed

POSCAR file:
```
K4YEr3Te8
1.0
4.475 2.583 8.239
-4.475 2.583 8.239
0.000 -5.167 8.239
K Y Er Te
4 1 3 8
Direct
0.000 0.000 0.000
0.000 0.500 0.500
0.500 0.000 0.500
0.500 0.500 0.000
0.500 0.500 0.500
0.000 0.000 0.500
0.000 0.500 0.000
0.500 0.000 0.000
0.234 0.737 0.737
0.236 0.236 0.236
0.263 0.263 0.766
0.263 0.766 0.263
0.737 0.234 0.737
0.737 0.737 0.234
0.764 0.764 0.764
0.766 0.263 0.263
```

Output
Raw formation energy ... -1390 meV/atom
Symmetry ... R-3m

No. 2
KErZnTe3 | GGA-PBE | relaxed

POSCAR file:
```
KErZnTe3
1.0
9.668 0.000 0.000
0.000 4.376 0.000
-3.356 0.000 9.945
K Er Zn Te
2 2 2 6
Direct
0.209 0.250 0.239
0.791 0.750 0.761
0.329 0.750 0.860
0.671 0.250 0.140
0.082 0.250 0.605
0.918 0.750 0.395
0.105 0.250 0.862
0.214 0.750 0.537
0.461 0.750 0.164
0.539 0.250 0.836
0.786 0.250 0.463
0.895 0.750 0.138
```

Output
Raw formation energy ... -1052 meV/atom
Symmetry ... P2_1/m

No. 3
K2ErZnTe4 | GGA-PBE | relaxed

POSCAR file:
```
K2ErZnTe4
1.0
-4.246 4.246 3.789
4.246 -4.246 3.789
4.246 4.246 -3.789
K Er Zn Te
2 1 1 4
Direct
0.000 0.500 0.500
0.500 0.000 0.500
0.000 0.000 0.000
0.500 0.500 0.000
0.100 0.100 0.649
0.450 0.450 0.351
0.550 0.900 0.000
0.900 0.550 0.000
```

Output
Raw formation energy ... -831 meV/atom
Symmetry ... I-42m

No. 4
KEr2ZnTe4 | GGA-PBE | relaxed

POSCAR file:
```
KEr2ZnTe4
1.0
2.214 -7.488 0.000
2.214 7.488 0.000
0.000 0.000 15.525
K Er Zn Te
2 4 2 8
Direct
0.123 0.877 0.750
0.877 0.123 0.250
0.374 0.626 0.557
0.374 0.626 0.943
0.626 0.374 0.057
0.626 0.374 0.443
0.157 0.843 0.250
0.843 0.157 0.750
0.000 0.000 0.000
0.000 0.000 0.500
0.264 0.736 0.110
0.264 0.736 0.390
0.442 0.558 0.750
0.558 0.442 0.250
0.736 0.264 0.610
0.736 0.264 0.890
```

Output
Raw formation energy ... -1039 meV/atom
Symmetry ... Cmcm

No. 5
K3Er3ZnTe8 | GGA-PBE | relaxed

POSCAR file:
```
K3Er3ZnTe8
1.0
7.424 -4.378 0.000
7.424 4.378 0.000
-4.847 0.000 8.490
K Er Zn Te
3 3 1 8
Direct
0.000 0.000 0.000
0.000 0.500 0.000
0.500 0.000 0.000
0.000 0.500 0.500
0.500 0.000 0.500
0.500 0.500 0.500
0.000 0.000 0.500
0.201 0.201 0.679
0.261 0.700 0.722
0.262 0.262 0.290
0.300 0.739 0.278
0.700 0.261 0.722
0.738 0.738 0.710
0.739 0.300 0.278
0.799 0.799 0.321
```

Output
Raw formation energy ... -1031 meV/atom
Symmetry ... C2/m

No. 6
K3Er2ZrTe6 | GGA-PBE | relaxed

POSCAR file:
```
K3Er2ZrTe6
1.0
3.796 -6.575 0.000
3.796 6.575 0.000
-2.534 0.000 8.273
K Er Zr Te
3 2 1 6
Direct
0.000 0.000 0.000
0.330 0.670 0.000
0.670 0.330 0.000
0.166 0.834 0.500
0.834 0.166 0.500
0.500 0.500 0.500
0.107 0.432 0.294
0.245 0.245 0.707
0.432 0.107 0.294
0.568 0.893 0.706
0.755 0.755 0.293
0.893 0.568 0.706
```

Output
Raw formation energy ... -1220 meV/atom
Symmetry ... C2/m

No. 7
KEr4Tl5 | GGA-PBE | relaxed

POSCAR file:
```
KEr4Tl5
1.0
3.799 0.000 0.000
0.000 3.799 0.000
0.000 0.000 19.872
K Er Tl
1 4 5
Direct
0.000 0.000 0.000
0.000 0.000 0.216
0.000 0.000 0.405
0.000 0.000 0.595
0.000 0.000 0.784
0.500 0.500 0.129
0.500 0.500 0.312
0.500 0.500 0.500
0.500 0.500 0.688
0.500 0.500 0.871
```

Output
Formation enthalpy at 0 K ... -0.265 eV per atom
Symmetry ... P4/mmm

No. 8
KErTl2 | GGA-PBE | relaxed

POSCAR file:
```
KErTl2
1.0
1.858 1.073 10.864
-1.858 1.073 10.864
0.000 -2.146 10.864
K Er Tl
1 1 2
Direct
0.000 0.000 0.000
0.500 0.500 0.500
0.243 0.243 0.243
0.757 0.757 0.757
```

Output
Formation enthalpy at 0 K ... -0.051 eV per atom
Symmetry ... R-3m